IrAuS2N | PBE | relaxed

Results
The excess energy over the best structure of this formula in the dataset is 1135.3 meV per atom. The density of states at the Fermi level is 1.134 states/eV per atom. For the total DFT energy (no corrections), the calculation gives -0.1441 hartree per atom. The calculation puts the size of the total moment at 0.7 μB/f.u. For the uncorrected formation energy, the calculation gives 1824 meV/atom.

Cell: 4.945 4.945 3.668 Å, 90.00 90.00 90.00°
Element x y z (fractional)
1 Ir 0.000 0.000 0.000
2 Au 0.500 0.500 0.500
3 S 0.000 0.500 0.500
4 S 0.500 0.000 0.500
5 N 0.500 0.500 0.000

---

IrAuSeN2 | PBE | relaxed

Results
The excess energy over the best structure of this formula in the dataset is 1302.1 meV per atom. The density of states at the Fermi level is 1.136 states/eV per atom. For the total DFT energy (no corrections), the calculation gives -0.1597 hartree per atom. The calculation puts the size of the total moment at 0.8 μB/f.u. For the uncorrected formation energy, the calculation gives 2110 meV/atom.

Cell: 3.732 3.732 8.269 Å, 90.00 90.00 90.00°
Element x y z (fractional)
1 Ir 0.000 0.000 0.000
2 Au 0.500 0.500 0.500
3 Se 0.500 0.500 0.000
4 N 0.000 0.500 0.500
5 N 0.500 0.000 0.500

---

IrAuSeN2 | PBE | relaxed

Results
The excess energy over the best structure of this formula in the dataset is 0.0 meV per atom. The density of states at the Fermi level is 0.407 states/eV per atom. For the total DFT energy (no corrections), the calculation gives -0.2075 hartree per atom. The calculation puts the size of the total moment at 0.3 μB/f.u. For the uncorrected formation energy, the calculation gives 808 meV/atom.

Cell: 3.764 3.764 5.849 Å, 90.00 90.00 90.00°
Element x y z (fractional)
1 Ir 0.000 0.000 0.000
2 Au 0.500 0.500 0.500
3 Se 0.000 0.000 0.500
4 N 0.000 0.500 0.000
5 N 0.500 0.000 0.000

---

Sr2IrAuN | PBE | relaxed

Results
The density of states at the Fermi level is 0.536 states/eV per atom. For the total DFT energy (no corrections), the calculation gives -0.2002 hartree per atom. The calculation puts the size of the total moment at 0.0 μB/f.u. For the uncorrected formation energy, the calculation gives -683 meV/atom.

Cell: 5.461 5.461 3.799 Å, 90.00 90.00 90.00°
Element x y z (fractional)
1 Sr 0.000 0.500 0.000
2 Sr 0.500 0.000 0.000
3 Ir 0.000 0.000 0.500
4 Au 0.500 0.500 0.500
5 N 0.000 0.000 0.000

---

Te2IrAuN | PBE | relaxed

Results
The excess energy over the best structure of this formula in the dataset is 0.0 meV per atom. The density of states at the Fermi level is 0.881 states/eV per atom. For the total DFT energy (no corrections), the calculation gives -0.1809 hartree per atom. The calculation puts the size of the total moment at 0.0 μB/f.u. For the uncorrected formation energy, the calculation gives 426 meV/atom.

Cell: 5.518 5.518 3.635 Å, 90.00 90.00 90.00°
Element x y z (fractional)
1 Te 0.000 0.500 0.000
2 Te 0.500 0.000 0.000
3 Ir 0.000 0.000 0.000
4 Au 0.500 0.500 0.500
5 N 0.000 0.000 0.500

---

Te2IrAuN | PBE | relaxed

Results
The excess energy over the best structure of this formula in the dataset is 1034.5 meV per atom. The density of states at the Fermi level is 0.759 states/eV per atom. For the total DFT energy (no corrections), the calculation gives -0.1429 hartree per atom. The calculation puts the size of the total moment at 0.2 μB/f.u. For the uncorrected formation energy, the calculation gives 1460 meV/atom.

Cell: 5.504 5.504 3.673 Å, 90.00 90.00 90.00°
Element x y z (fractional)
1 Te 0.000 0.500 0.000
2 Te 0.500 0.000 0.000
3 Ir 0.000 0.000 0.500
4 Au 0.500 0.500 0.000
5 N 0.500 0.500 0.500

---

NaIr2Au2 | PBE | relaxed

Results
The density of states at the Fermi level is 0.839 states/eV per atom. For the total DFT energy (no corrections), the calculation gives -0.1775 hartree per atom. Its energy of formation is 0.29 eV per atom. The calculation puts the size of the total moment at 0.0 μB/f.u.

Cell: 8.176 8.176 2.736 Å, 90.00 90.00 90.00°
Element x y z (fractional)
1 Na 0.000 0.000 0.000
2 Na 0.500 0.500 0.000
3 Ir 0.112 0.388 0.000
4 Ir 0.388 0.888 0.000
5 Ir 0.612 0.112 0.000
6 Ir 0.888 0.612 0.000
7 Au 0.187 0.687 0.500
8 Au 0.313 0.187 0.500
9 Au 0.687 0.813 0.500
10 Au 0.813 0.313 0.500

---

Na2IrAu | PBE | relaxed

Results
The excess energy over the best structure of this formula in the dataset is 0.0 meV per atom. The density of states at the Fermi level is 0.941 states/eV per atom. For the total DFT energy (no corrections), the calculation gives -0.1163 hartree per atom. Its energy of formation is 0.53 eV per atom. The calculation puts the size of the total moment at 0.9 μB/f.u.

Cell: 6.249 6.249 6.249 Å, 100.36 100.36 129.82°
Element x y z (fractional)
1 Na 0.122 0.625 0.997
2 Na 0.375 0.372 0.497
3 Na 0.628 0.125 0.003
4 Na 0.875 0.878 0.503
5 Ir 0.250 0.750 0.500
6 Ir 0.500 0.500 0.000
7 Au 0.000 0.000 0.000
8 Au 0.750 0.250 0.500